(1)
8
Lattice="6.884 0.000 0.000 0.000 3.975 0.000 -2.294 0.000 6.684" Properties=species:S:1:pos:R:3 comment="Na2DyHoS4 (PBE, optimized geometry)" e_tot_ev_per_atom=-5.392 dos_ef_per_ev_atom=0.00 e_form_raw_ev_per_atom=-1.851 pbc="T T T"
Na 0.000 0.000 0.000
Na 3.442 1.988 0.000
Dy -1.147 1.988 3.342
Ho 2.295 0.000 3.342
S 0.007 0.000 4.855
S 1.154 1.988 1.832
S 3.436 1.988 4.852
S 4.583 0.000 1.829

=====

(2)
16
Lattice="3.980 2.298 6.681 -3.980 2.298 6.681 0.000 -4.596 6.681" Properties=species:S:1:pos:R:3 comment="Na4Dy3HoS8 (PBE, optimized geometry)" e_tot_ev_per_atom=-5.393 dos_ef_per_ev_atom=0.00 e_form_raw_ev_per_atom=-1.851 pbc="T T T"
Na 0.000 0.000 0.000
Na -1.990 -1.149 6.681
Na -1.990 1.149 13.362
Na 0.000 2.298 6.681
Dy -3.980 0.000 10.022
Dy -1.990 1.149 3.341
Dy 1.990 1.149 3.341
Ho 0.000 0.000 10.022
S 0.000 0.000 4.856
S -1.984 -1.145 11.534
S 0.000 -2.291 8.510
S -1.984 1.145 8.510
S 1.984 -1.145 11.534
S 0.000 2.291 11.534
S 1.984 1.145 8.510
S 0.000 0.000 15.188

=====

(3)
12
Lattice="3.580 -6.201 0.000 3.580 6.201 0.000 -2.387 0.000 7.005" Properties=species:S:1:pos:R:3 comment="Na3DyHo2Se6 (PBE, optimized geometry)" e_tot_ev_per_atom=-4.925 dos_ef_per_ev_atom=0.00 e_form_raw_ev_per_atom=-1.707 pbc="T T T"
Na 0.000 0.000 0.000
Na 3.580 2.065 0.000
Na 3.580 -2.065 0.000
Dy 2.387 0.000 3.502
Ho 2.387 4.134 3.502
Ho 2.387 -4.134 3.502
Se 1.190 2.073 1.900
Se -0.007 0.000 5.105
Se 1.190 -2.073 1.900
Se 3.584 2.073 5.105
Se 4.781 0.000 1.899
Se 3.584 -2.073 5.105

=====

(4)
15
Lattice="7.126 -4.117 0.000 7.126 4.117 0.000 -4.750 0.000 7.067" Properties=species:S:1:pos:R:3 comment="Na3Dy3HoSe8 (PBE, optimized geometry)" e_tot_ev_per_atom=-4.974 dos_ef_per_ev_atom=0.44 e_form_raw_ev_per_atom=-1.627 pbc="T T T"
Na 0.000 0.000 0.000
Na 3.563 2.058 0.000
Na 3.563 -2.058 0.000
Dy 1.188 2.058 3.533
Dy 1.188 -2.058 3.533
Dy 4.751 0.000 3.533
Ho -2.375 0.000 3.533
Se -0.006 0.000 5.133
Se 3.562 2.061 5.139
Se 2.379 0.000 1.904
Se 5.940 2.061 1.928
Se 3.562 -2.061 5.139
Se 7.123 0.000 5.163
Se 5.940 -2.061 1.928
Se 9.508 0.000 1.934

=====

(5)
14
Lattice="4.228 2.441 6.893 -4.228 2.441 6.893 0.000 -4.882 6.893" Properties=species:S:1:pos:R:3 comment="NaDy4HoSe8 (PBE, optimized geometry)" e_tot_ev_per_atom=-5.497 dos_ef_per_ev_atom=0.00 e_form_raw_ev_per_atom=-1.770 pbc="T T T"
Na 0.000 0.000 0.000
Dy -2.198 -1.269 9.439
Dy 0.000 0.000 5.162
Dy 2.198 -1.269 9.439
Dy 0.000 2.537 9.439
Ho 0.000 0.000 13.024
Se 0.000 0.000 7.917
Se 0.000 -2.277 11.147
Se -1.972 1.139 11.147
Se -1.943 -1.122 14.704
Se 1.972 1.139 11.147
Se 1.943 -1.122 14.704
Se 0.000 2.244 14.704
Se 0.000 0.000 17.886

=====

(6)
12
Lattice="8.907 -2.034 0.000 8.907 2.034 0.000 -1.894 0.000 7.979" Properties=species:S:1:pos:R:3 comment="NaDy3Ho2Se6 (PBE, optimized geometry)" e_tot_ev_per_atom=-5.498 dos_ef_per_ev_atom=0.33 e_form_raw_ev_per_atom=-1.732 pbc="T T T"
Na 0.000 0.000 0.000
Dy -0.947 0.000 3.990
Dy 5.658 0.000 1.395
Dy 10.261 0.000 6.585
Ho 4.657 0.000 5.253
Ho 11.263 0.000 2.727
Se 1.848 0.000 4.652
Se 2.841 0.000 0.674
Se 7.449 0.000 5.963
Se 8.470 0.000 2.016
Se 13.078 0.000 7.305
Se 14.072 0.000 3.327

=====

(7)
8
Lattice="7.163 0.000 0.000 0.000 4.136 0.000 -2.389 0.000 7.009" Properties=species:S:1:pos:R:3 comment="Na2DyHoSe4 (PBE, optimized geometry)" e_tot_ev_per_atom=-4.927 dos_ef_per_ev_atom=0.00 e_form_raw_ev_per_atom=-1.707 pbc="T T T"
Na 0.000 0.000 0.000
Na 3.582 2.068 0.000
Dy -1.194 2.068 3.505
Ho 2.387 0.000 3.505
Se 0.006 0.000 5.110
Se 1.200 2.068 1.902
Se 3.574 2.068 5.107
Se 4.769 0.000 1.899

=====

(8)
12
Lattice="8.906 -2.031 0.000 8.906 2.031 0.000 -1.900 0.000 7.976" Properties=species:S:1:pos:R:3 comment="NaDy2Ho3Se6 (PBE, optimized geometry)" e_tot_ev_per_atom=-5.495 dos_ef_per_ev_atom=0.31 e_form_raw_ev_per_atom=-1.731 pbc="T T T"
Na 0.000 0.000 0.000
Dy 4.636 0.000 5.242
Dy 11.276 0.000 2.735
Ho -0.950 0.000 3.988
Ho 5.643 0.000 1.389
Ho 10.269 0.000 6.588
Se 1.817 0.000 4.668
Se 2.845 0.000 0.657
Se 7.461 0.000 5.952
Se 8.451 0.000 2.025
Se 13.067 0.000 7.320
Se 14.095 0.000 3.309